Crystalline LaPm3Ho3Te8 at its relaxed geometry, computed with GGA-PBE.

```
LaPm3Ho3Te8
1.0
4.3967 2.5384 7.1858
-4.3967 2.5384 7.1858
0.0000 -5.0768 7.1858
La Pm Ho Te
1 3 3 8
Direct
0.0000 0.0000 0.0000
0.0000 0.0000 0.5000
0.0000 0.5000 0.0000
0.5000 0.0000 0.0000
0.0000 0.5000 0.5000
0.5000 0.0000 0.5000
0.5000 0.5000 0.0000
0.2534 0.2534 0.2534
0.2618 0.2618 0.7311
0.2618 0.7311 0.2618
0.2689 0.7382 0.7382
0.7311 0.2618 0.2618
0.7382 0.2689 0.7382
0.7382 0.7382 0.2689
0.7466 0.7466 0.7466
```

Calculated values
Volume = 32.08 Å³/atom
Fermi-level density of states = 0.49 states/eV/atom
E = -79.27 eV/cell
ΔE_f (raw) = -136.5 kJ per mole of atoms